[1]
Here is a geometry-optimized GdPaAl4 structure from the Alexandria database. Energies are from PBE-GGA.

Properties
As for the total energy: -40.66 eV per cell. For the formation energy, the calculation gives -0.3529 eV/atom.

Cell and atoms, written as CIF:
```
data_GdPaAl4
_symmetry_space_group_name_H-M 'P 1'
_symmetry_Int_Tables_number 1
_symmetry_space_group_name_Hall 'P 1'
_cell_length_a 5.5568
_cell_length_b 5.5568
_cell_length_c 5.5568
_cell_angle_alpha 60.00
_cell_angle_beta 60.00
_cell_angle_gamma 60.00
loop_
_atom_site_label
_atom_site_type_symbol
_atom_site_fract_x
_atom_site_fract_y
_atom_site_fract_z
Gd1 Gd 0.0000 0.0000 0.0000
Pa1 Pa 0.2500 0.2500 0.2500
Al1 Al 0.6243 0.6243 0.1271
Al2 Al 0.6243 0.1271 0.6243
Al3 Al 0.6243 0.6243 0.6243
Al4 Al 0.1271 0.6243 0.6243
```


[2]
Here is a geometry-optimized GdPaAl2 structure from the Alexandria database. Energies are from PBE-GGA.

Properties
As for the total energy: -32.06 eV per cell. As for the polymorph energy (0 for the lowest one): 0 kJ/mol of formula units. For the formation energy, the calculation gives -0.2485 eV/atom.

Cell and atoms, written as CIF:
```
data_GdPaAl2
_symmetry_space_group_name_H-M 'P 1'
_symmetry_Int_Tables_number 1
_symmetry_space_group_name_Hall 'P 1'
_cell_length_a 3.2384
_cell_length_b 3.2384
_cell_length_c 8.6519
_cell_angle_alpha 90.00
_cell_angle_beta 90.00
_cell_angle_gamma 90.00
loop_
_atom_site_label
_atom_site_type_symbol
_atom_site_fract_x
_atom_site_fract_y
_atom_site_fract_z
Gd1 Gd 0.5000 0.5000 0.5000
Pa1 Pa 0.5000 0.5000 0.0000
Al1 Al 0.0000 0.0000 0.7531
Al2 Al 0.0000 0.0000 0.2469
```


[3]
Here is a geometry-optimized PmGdPaAl structure from the Alexandria database. Energies are from PBE-GGA.

Properties
As for the total energy: -31.34 eV per cell. For the formation energy, the calculation gives 0.1819 eV/atom.

Cell and atoms, written as CIF:
```
data_PmGdPaAl
_symmetry_space_group_name_H-M 'P 1'
_symmetry_Int_Tables_number 1
_symmetry_space_group_name_Hall 'P 1'
_cell_length_a 5.2932
_cell_length_b 5.2932
_cell_length_c 5.2932
_cell_angle_alpha 60.00
_cell_angle_beta 60.00
_cell_angle_gamma 60.00
loop_
_atom_site_label
_atom_site_type_symbol
_atom_site_fract_x
_atom_site_fract_y
_atom_site_fract_z
Gd1 Gd 0.2500 0.2500 0.2500
Pa1 Pa 0.5000 0.5000 0.5000
Al1 Al 0.0000 0.0000 0.0000
Pm1 Pm 0.7500 0.7500 0.7500
```


[4]
Here is a geometry-optimized GdPaAlRe structure from the Alexandria database. Energies are from PBE-GGA.

Properties
As for the total energy: -39.95 eV per cell. For the formation energy, the calculation gives -0.0468 eV/atom.

Cell and atoms, written as CIF:
```
data_GdPaAlRe
_symmetry_space_group_name_H-M 'P 1'
_symmetry_Int_Tables_number 1
_symmetry_space_group_name_Hall 'P 1'
_cell_length_a 4.8373
_cell_length_b 4.8373
_cell_length_c 4.8373
_cell_angle_alpha 60.00
_cell_angle_beta 60.00
_cell_angle_gamma 60.00
loop_
_atom_site_label
_atom_site_type_symbol
_atom_site_fract_x
_atom_site_fract_y
_atom_site_fract_z
Gd1 Gd 0.5000 0.5000 0.5000
Re1 Re 0.0000 0.0000 0.0000
Pa1 Pa 0.7500 0.7500 0.7500
Al1 Al 0.2500 0.2500 0.2500
```


[5]
Here is a geometry-optimized GdPaAlTc structure from the Alexandria database. Energies are from PBE-GGA.

Properties
As for the total energy: -37.95 eV per cell. For the formation energy, the calculation gives -0.0656 eV/atom.

Cell and atoms, written as CIF:
```
data_GdPaAlTc
_symmetry_space_group_name_H-M 'P 1'
_symmetry_Int_Tables_number 1
_symmetry_space_group_name_Hall 'P 1'
_cell_length_a 4.9725
_cell_length_b 4.9725
_cell_length_c 4.9725
_cell_angle_alpha 60.00
_cell_angle_beta 60.00
_cell_angle_gamma 60.00
loop_
_atom_site_label
_atom_site_type_symbol
_atom_site_fract_x
_atom_site_fract_y
_atom_site_fract_z
Gd1 Gd 0.5000 0.5000 0.5000
Pa1 Pa 0.0000 0.0000 0.0000
Tc1 Tc 0.2500 0.2500 0.2500
Al1 Al 0.7500 0.7500 0.7500
```


[6]
Here is a geometry-optimized GdThPaAl structure from the Alexandria database. Energies are from PBE-GGA.

Properties
As for the total energy: -34.09 eV per cell. For the formation energy, the calculation gives 0.1618 eV/atom.

Cell and atoms, written as CIF:
```
data_GdThPaAl
_symmetry_space_group_name_H-M 'P 1'
_symmetry_Int_Tables_number 1
_symmetry_space_group_name_Hall 'P 1'
_cell_length_a 5.3005
_cell_length_b 5.3005
_cell_length_c 5.3005
_cell_angle_alpha 60.00
_cell_angle_beta 60.00
_cell_angle_gamma 60.00
loop_
_atom_site_label
_atom_site_type_symbol
_atom_site_fract_x
_atom_site_fract_y
_atom_site_fract_z
Gd1 Gd 0.2500 0.2500 0.2500
Pa1 Pa 0.7500 0.7500 0.7500
Al1 Al 0.5000 0.5000 0.5000
Th1 Th 0.0000 0.0000 0.0000
```


[7]
Here is a geometry-optimized GdAl4Pb structure from the Alexandria database. Energies are from PBE-GGA.

Properties
As for the total energy: -33.76 eV per cell. For the formation energy, the calculation gives -0.1660 eV/atom.

Cell and atoms, written as CIF:
```
data_GdAl4Pb
_symmetry_space_group_name_H-M 'P 1'
_symmetry_Int_Tables_number 1
_symmetry_space_group_name_Hall 'P 1'
_cell_length_a 5.6390
_cell_length_b 5.6390
_cell_length_c 5.6390
_cell_angle_alpha 60.00
_cell_angle_beta 60.00
_cell_angle_gamma 60.00
loop_
_atom_site_label
_atom_site_type_symbol
_atom_site_fract_x
_atom_site_fract_y
_atom_site_fract_z
Pb1 Pb 0.2500 0.2500 0.2500
Gd1 Gd 0.0000 0.0000 0.0000
Al1 Al 0.6253 0.6253 0.1240
Al2 Al 0.6253 0.1240 0.6253
Al3 Al 0.6253 0.6253 0.6253
Al4 Al 0.1241 0.6253 0.6253
```


[8]
Here is a geometry-optimized GdAlPb structure from the Alexandria database. Energies are from PBE-GGA.

Properties
As for the total energy: -22.22 eV per cell. For the formation energy, the calculation gives -0.2290 eV/atom.

Cell and atoms, written as CIF:
```
data_GdAlPb
_symmetry_space_group_name_H-M 'P 1'
_symmetry_Int_Tables_number 1
_symmetry_space_group_name_Hall 'P 1'
_cell_length_a 3.4699
_cell_length_b 5.0348
_cell_length_c 5.0348
_cell_angle_alpha 120.00
_cell_angle_beta 90.00
_cell_angle_gamma 90.00
loop_
_atom_site_label
_atom_site_type_symbol
_atom_site_fract_x
_atom_site_fract_y
_atom_site_fract_z
Pb1 Pb 0.1674 0.3333 0.6667
Gd1 Gd 0.6667 0.6667 0.3333
Al1 Al 0.1659 0.0000 0.0000
```


[9]
Here is a geometry-optimized PrGdAlPb structure from the Alexandria database. Energies are from PBE-GGA.

Properties
As for the total energy: -27.73 eV per cell. For the formation energy, the calculation gives -0.3538 eV/atom.

Cell and atoms, written as CIF:
```
data_PrGdAlPb
_symmetry_space_group_name_H-M 'P 1'
_symmetry_Int_Tables_number 1
_symmetry_space_group_name_Hall 'P 1'
_cell_length_a 5.4147
_cell_length_b 5.4147
_cell_length_c 5.4147
_cell_angle_alpha 60.00
_cell_angle_beta 60.00
_cell_angle_gamma 60.00
loop_
_atom_site_label
_atom_site_type_symbol
_atom_site_fract_x
_atom_site_fract_y
_atom_site_fract_z
Pb1 Pb 0.2500 0.2500 0.2500
Pr1 Pr 0.5000 0.5000 0.5000
Gd1 Gd 0.0000 0.0000 0.0000
Al1 Al 0.7500 0.7500 0.7500
```


[10]
Here is a geometry-optimized GdPuAlPb structure from the Alexandria database. Energies are from PBE-GGA.

Properties
As for the total energy: -36.67 eV per cell. For the formation energy, the calculation gives -0.2018 eV/atom.

Cell and atoms, written as CIF:
```
data_GdPuAlPb
_symmetry_space_group_name_H-M 'P 1'
_symmetry_Int_Tables_number 1
_symmetry_space_group_name_Hall 'P 1'
_cell_length_a 5.3161
_cell_length_b 5.3161
_cell_length_c 5.3161
_cell_angle_alpha 60.00
_cell_angle_beta 60.00
_cell_angle_gamma 60.00
loop_
_atom_site_label
_atom_site_type_symbol
_atom_site_fract_x
_atom_site_fract_y
_atom_site_fract_z
Pb1 Pb 0.2500 0.2500 0.2500
Gd1 Gd 0.0000 0.0000 0.0000
Al1 Al 0.7500 0.7500 0.7500
Pu1 Pu 0.5000 0.5000 0.5000
```


[11]
Here is a geometry-optimized GdTmAlPb structure from the Alexandria database. Energies are from PBE-GGA.

Properties
As for the total energy: -27.31 eV per cell. For the formation energy, the calculation gives -0.3270 eV/atom.

Cell and atoms, written as CIF:
```
data_GdTmAlPb
_symmetry_space_group_name_H-M 'P 1'
_symmetry_Int_Tables_number 1
_symmetry_space_group_name_Hall 'P 1'
_cell_length_a 5.2866
_cell_length_b 5.2866
_cell_length_c 5.2866
_cell_angle_alpha 60.00
_cell_angle_beta 60.00
_cell_angle_gamma 60.00
loop_
_atom_site_label
_atom_site_type_symbol
_atom_site_fract_x
_atom_site_fract_y
_atom_site_fract_z
Pb1 Pb 0.2500 0.2500 0.2500
Gd1 Gd 0.0000 0.0000 0.0000
Tm1 Tm 0.5000 0.5000 0.5000
Al1 Al 0.7500 0.7500 0.7500
```


[12]
Here is a geometry-optimized GdAlPd structure from the Alexandria database. Energies are from PBE-GGA.

Properties
As for the total energy: -76.71 eV per cell. For the formation energy, the calculation gives -0.8516 eV/atom.

Cell and atoms, written as CIF:
```
data_GdAlPd
_symmetry_space_group_name_H-M 'P 1'
_symmetry_Int_Tables_number 1
_symmetry_space_group_name_Hall 'P 1'
_cell_length_a 7.1324
_cell_length_b 7.1324
_cell_length_c 4.1709
_cell_angle_alpha 90.00
_cell_angle_beta 90.00
_cell_angle_gamma 120.00
loop_
_atom_site_label
_atom_site_type_symbol
_atom_site_fract_x
_atom_site_fract_y
_atom_site_fract_z
Gd1 Gd 0.0000 0.5821 0.5000
Gd2 Gd 0.4179 0.4179 0.5000
Gd3 Gd 0.5821 0.0000 0.5000
Al1 Al 0.7656 0.7656 0.0000
Al2 Al 0.2344 0.0000 0.0000
Al3 Al 0.0000 0.2344 0.0000
Pd1 Pd 0.3333 0.6667 0.0000
Pd2 Pd 0.6667 0.3333 0.0000
Pd3 Pd 0.0000 0.0000 0.5000
```